VASP calculation (PBE) on KBaAuCl after structural relaxation.

Results
uncorrected formation energy: -1.03 eV/atom
SG: F-43m (216)

Unit cell a=8.0174 b=8.0174 c=8.0174 alpha=90.00 beta=90.00 gamma=90.00
Fractional coordinates of all 16 atoms:
K  0.0000  0.0000  0.0000
K  0.0000  0.5000  0.5000
K  0.5000  0.0000  0.5000
K  0.5000  0.5000  0.0000
Ba  0.0000  0.0000  0.5000
Ba  0.0000  0.5000  0.0000
Ba  0.5000  0.0000  0.0000
Ba  0.5000  0.5000  0.5000
Au  0.2500  0.2500  0.2500
Au  0.2500  0.7500  0.7500
Au  0.7500  0.2500  0.7500
Au  0.7500  0.7500  0.2500
Cl  0.2500  0.2500  0.7500
Cl  0.2500  0.7500  0.2500
Cl  0.7500  0.2500  0.2500
Cl  0.7500  0.7500  0.7500